[1]
{
  "formula": "LiPmDy",
  "functional": "PBE",
  "state": "relaxed",
  "lattice": [[7.173, 0.000, 0.000], [0.000, 7.173, 0.000], [0.000, 0.000, 7.173]],
  "species": ["Li", "Li", "Li", "Li", "Pm", "Pm", "Pm", "Pm", "Dy", "Dy", "Dy", "Dy"],
  "frac_coords": [[0.000, 0.000, 0.000], [0.000, 0.500, 0.500], [0.500, 0.000, 0.500], [0.500, 0.500, 0.000], [0.250, 0.250, 0.250], [0.250, 0.750, 0.750], [0.750, 0.250, 0.750], [0.750, 0.750, 0.250], [0.250, 0.250, 0.750], [0.250, 0.750, 0.250], [0.750, 0.250, 0.250], [0.750, 0.750, 0.750]],
  "de_polymorph_ev_per_atom": 0.0000,
  "sg": "No. 216"
}

=====

[2]
{
  "formula": "LiDyPt2",
  "functional": "PBE",
  "state": "relaxed",
  "lattice": [[3.454, 0.000, 0.000], [0.000, 3.454, 0.000], [0.000, 0.000, 5.928]],
  "species": ["Li", "Dy", "Pt", "Pt"],
  "frac_coords": [[0.000, 0.000, 0.000], [0.000, 0.000, 0.500], [0.500, 0.500, 0.231], [0.500, 0.500, 0.769]],
  "final_energy_ev_per_atom": -5.607,
  "sg": "No. 123"
}

=====

[3]
{
  "formula": "LiDyPt",
  "functional": "PBE",
  "state": "relaxed",
  "lattice": [[6.134, 0.000, 0.000], [0.000, 6.134, 0.000], [0.000, 0.000, 6.134]],
  "species": ["Li", "Li", "Li", "Li", "Dy", "Dy", "Dy", "Dy", "Pt", "Pt", "Pt", "Pt"],
  "frac_coords": [[0.000, 0.000, 0.000], [0.000, 0.500, 0.500], [0.500, 0.000, 0.500], [0.500, 0.500, 0.000], [0.250, 0.250, 0.750], [0.250, 0.750, 0.250], [0.750, 0.250, 0.250], [0.750, 0.750, 0.750], [0.250, 0.250, 0.250], [0.250, 0.750, 0.750], [0.750, 0.250, 0.750], [0.750, 0.750, 0.250]],
  "final_energy_ev_per_atom": -4.680,
  "sg": "No. 216"
}

=====

[4]
{
  "formula": "RbLiDy",
  "functional": "PBE",
  "state": "relaxed",
  "lattice": [[8.113, 0.000, 0.000], [0.000, 8.113, 0.000], [0.000, 0.000, 8.113]],
  "species": ["Rb", "Rb", "Rb", "Rb", "Li", "Li", "Li", "Li", "Dy", "Dy", "Dy", "Dy"],
  "frac_coords": [[0.000, 0.000, 0.000], [0.000, 0.500, 0.500], [0.500, 0.000, 0.500], [0.500, 0.500, 0.000], [0.250, 0.250, 0.250], [0.250, 0.750, 0.750], [0.750, 0.250, 0.750], [0.750, 0.750, 0.250], [0.250, 0.250, 0.750], [0.250, 0.750, 0.250], [0.750, 0.250, 0.250], [0.750, 0.750, 0.750]],
  "de_polymorph_ev_per_atom": 0.3240,
  "sg": "No. 216"
}

=====

[5]
{
  "formula": "RbLiDy",
  "functional": "PBE",
  "state": "relaxed",
  "lattice": [[8.039, 0.000, 0.000], [0.000, 8.039, 0.000], [0.000, 0.000, 8.039]],
  "species": ["Rb", "Rb", "Rb", "Rb", "Li", "Li", "Li", "Li", "Dy", "Dy", "Dy", "Dy"],
  "frac_coords": [[0.000, 0.000, 0.000], [0.000, 0.500, 0.500], [0.500, 0.000, 0.500], [0.500, 0.500, 0.000], [0.250, 0.250, 0.750], [0.250, 0.750, 0.250], [0.750, 0.250, 0.250], [0.750, 0.750, 0.750], [0.000, 0.000, 0.500], [0.000, 0.500, 0.000], [0.500, 0.000, 0.000], [0.500, 0.500, 0.500]],
  "de_polymorph_ev_per_atom": 0.0000,
  "sg": "No. 216"
}

=====

[6]
{
  "formula": "RbLiDyTe3",
  "functional": "PBE",
  "state": "relaxed",
  "lattice": [[2.199, -7.957, 0.000], [2.199, 7.957, 0.000], [0.000, 0.000, 11.723]],
  "species": ["Rb", "Rb", "Li", "Li", "Dy", "Dy", "Te", "Te", "Te", "Te", "Te", "Te"],
  "frac_coords": [[0.243, 0.757, 0.750], [0.757, 0.243, 0.250], [0.045, 0.955, 0.250], [0.955, 0.045, 0.750], [0.500, 0.500, 0.000], [0.500, 0.500, 0.500], [0.131, 0.869, 0.048], [0.131, 0.869, 0.452], [0.442, 0.558, 0.250], [0.558, 0.442, 0.750], [0.869, 0.131, 0.548], [0.869, 0.131, 0.952]],
  "final_energy_ev_per_atom": -3.892,
  "sg": "No. 63"
}

=====

[7]
{
  "formula": "LiSmDyS3",
  "functional": "PBE",
  "state": "relaxed",
  "lattice": [[8.323, -1.911, 0.000], [8.323, 1.911, 0.000], [-1.963, 0.000, 7.814]],
  "species": ["Li", "Li", "Sm", "Sm", "Dy", "Dy", "S", "S", "S", "S", "S", "S"],
  "frac_coords": [[0.002, 0.002, 0.197], [0.998, 0.998, 0.803], [0.363, 0.363, 0.431], [0.637, 0.637, 0.569], [0.334, 0.334, 0.913], [0.666, 0.666, 0.087], [0.000, 0.000, 0.500], [0.164, 0.164, 0.842], [0.177, 0.177, 0.336], [0.500, 0.500, 0.000], [0.823, 0.823, 0.664], [0.836, 0.836, 0.158]],
  "final_energy_ev_per_atom": -5.811,
  "sg": "No. 12"
}

=====

[8]
{
  "formula": "LiDyZnS3",
  "functional": "PBE",
  "state": "relaxed",
  "lattice": [[7.413, 0.000, 0.000], [0.000, 3.867, 0.000], [-2.111, 0.000, 9.444]],
  "species": ["Li", "Li", "Dy", "Dy", "Zn", "Zn", "S", "S", "S", "S", "S", "S"],
  "frac_coords": [[0.170, 0.250, 0.124], [0.830, 0.750, 0.876], [0.333, 0.750, 0.847], [0.667, 0.250, 0.153], [0.071, 0.250, 0.606], [0.929, 0.750, 0.394], [0.067, 0.250, 0.848], [0.229, 0.750, 0.550], [0.410, 0.750, 0.138], [0.590, 0.250, 0.862], [0.771, 0.250, 0.450], [0.933, 0.750, 0.152]],
  "de_polymorph_ev_per_atom": 0.0000,
  "sg": "No. 11"
}

=====

[9]
{
  "formula": "LiDyZnS3",
  "functional": "PBE",
  "state": "relaxed",
  "lattice": [[1.916, -6.133, 0.000], [1.916, 6.133, 0.000], [0.000, 0.000, 10.573]],
  "species": ["Li", "Li", "Dy", "Dy", "Zn", "Zn", "S", "S", "S", "S", "S", "S"],
  "frac_coords": [[0.234, 0.766, 0.750], [0.766, 0.234, 0.250], [0.000, 0.000, 0.000], [0.000, 0.000, 0.500], [0.475, 0.525, 0.250], [0.525, 0.475, 0.750], [0.091, 0.909, 0.250], [0.359, 0.641, 0.078], [0.359, 0.641, 0.422], [0.641, 0.359, 0.578], [0.641, 0.359, 0.922], [0.909, 0.091, 0.750]],
  "de_polymorph_ev_per_atom": 0.0484,
  "sg": "No. 63"
}

=====

[10]
{
  "formula": "LiDyZnS3",
  "functional": "PBE",
  "state": "relaxed",
  "lattice": [[10.669, 0.000, 0.000], [0.000, 3.880, 0.000], [0.000, 0.000, 12.320]],
  "species": ["Li", "Li", "Li", "Li", "Dy", "Dy", "Dy", "Dy", "Zn", "Zn", "Zn", "Zn", "S", "S", "S", "S", "S", "S", "S", "S", "S", "S", "S", "S"],
  "frac_coords": [[0.136, 0.250, 0.018], [0.364, 0.750, 0.518], [0.636, 0.250, 0.482], [0.864, 0.750, 0.982], [0.011, 0.250, 0.732], [0.489, 0.750, 0.232], [0.511, 0.250, 0.768], [0.989, 0.750, 0.268], [0.237, 0.250, 0.288], [0.263, 0.750, 0.788], [0.737, 0.250, 0.212], [0.763, 0.750, 0.712], [0.065, 0.250, 0.396], [0.076, 0.750, 0.888], [0.236, 0.750, 0.170], [0.264, 0.250, 0.670], [0.424, 0.250, 0.388], [0.435, 0.750, 0.896], [0.565, 0.250, 0.104], [0.576, 0.750, 0.612], [0.736, 0.750, 0.330], [0.764, 0.250, 0.830], [0.924, 0.250, 0.112], [0.935, 0.750, 0.604]],
  "de_polymorph_ev_per_atom": 0.0263,
  "sg": "No. 62"
}

=====

[11]
{
  "formula": "Li3DySb2",
  "functional": "PBE",
  "state": "relaxed",
  "lattice": [[4.515, 0.000, 0.000], [-2.258, 3.910, 0.000], [0.000, 0.000, 7.105]],
  "species": ["Li", "Li", "Li", "Dy", "Sb", "Sb"],
  "frac_coords": [[0.000, 0.000, 0.000], [0.333, 0.667, 0.148], [0.667, 0.333, 0.852], [0.000, 0.000, 0.500], [0.333, 0.667, 0.749], [0.667, 0.333, 0.251]],
  "final_energy_ev_per_atom": -3.915,
  "sg": "No. 164"
}

=====

[12]
{
  "formula": "LiDySb2",
  "functional": "PBE",
  "state": "relaxed",
  "lattice": [[4.262, 0.000, 0.000], [0.000, 4.262, 0.000], [0.000, 0.000, 10.682]],
  "species": ["Li", "Li", "Dy", "Dy", "Sb", "Sb", "Sb", "Sb"],
  "frac_coords": [[0.250, 0.750, 0.000], [0.750, 0.250, 0.000], [0.250, 0.250, 0.268], [0.750, 0.750, 0.732], [0.250, 0.250, 0.830], [0.250, 0.750, 0.500], [0.750, 0.250, 0.500], [0.750, 0.750, 0.170]],
  "final_energy_ev_per_atom": -4.478,
  "sg": "No. 129"
}